1.
{
  "formula": "LiZr2Cd",
  "functional": "PBE",
  "state": "relaxed",
  "total_magnetization_mub_per_cell": 0.00,
  "density_g_cm3": 6.005,
  "formation_energy_ev_per_atom": 0.07,
  "lattice": [[2.924, 0.000, 0.000], [0.000, 5.242, 0.000], [-1.178, 0.000, 5.445]],
  "species": ["Li", "Zr", "Zr", "Cd"],
  "fractional_positions": [[0.000, 0.000, 0.000], [0.202, 0.500, 0.760], [0.798, 0.500, 0.240], [0.500, 0.000, 0.500]]
}

2.
{
  "formula": "Li2ZrCd",
  "functional": "PBE",
  "state": "relaxed",
  "total_magnetization_mub_per_cell": 0.00,
  "density_g_cm3": 4.480,
  "formation_energy_ev_per_atom": 0.04,
  "lattice": [[2.814, 0.000, 0.000], [0.000, 4.605, 0.000], [0.000, 0.000, 6.221]],
  "species": ["Li", "Li", "Zr", "Cd"],
  "fractional_positions": [[0.000, 0.000, 0.000], [0.500, 0.500, 0.230], [0.000, 0.000, 0.513], [0.500, 0.500, 0.752]]
}